No. 1
Computed, not measured: a geometry-optimized H2Pb4SO8 structure at the GGA-PBEsol level of DFT.

DOS at the Fermi energy in states/eV per cell: 0.0
Final energy in eV/atom: -5.855
Symmetry: P-1 (2)

Geometry as POSCAR:
```
H2Pb4SO8
1.0
6.427 0.092 0.080
0.349 7.371 -0.048
2.151 2.448 9.850
O Pb H S
16 8 4 2
Direct
0.862 0.689 0.760 O
0.724 0.976 0.638 O
0.107 0.893 0.912 O
0.050 0.749 0.260 O
0.612 0.812 0.260 O
0.138 0.416 0.904 O
0.950 0.251 0.740 O
0.242 0.302 0.453 O
0.862 0.584 0.096 O
0.515 0.288 0.250 O
0.276 0.024 0.362 O
0.758 0.698 0.547 O
0.485 0.712 0.750 O
0.893 0.107 0.088 O
0.138 0.311 0.240 O
0.388 0.188 0.740 O
0.158 0.994 0.681 Pb
0.771 0.386 0.975 Pb
0.779 0.522 0.325 Pb
0.842 0.006 0.319 Pb
0.750 0.884 0.008 Pb
0.221 0.478 0.675 Pb
0.229 0.614 0.025 Pb
0.250 0.116 0.992 Pb
0.849 0.279 0.680 H
0.151 0.721 0.320 H
0.473 0.868 0.297 H
0.527 0.132 0.703 H
0.295 0.232 0.328 S
0.705 0.768 0.672 S
```

No. 2
Computed, not measured: a geometry-optimized K2CrPt structure at the GGA-PBEsol level of DFT.

DFT formation energy in eV/atom: 0.849
DOS at the Fermi energy in states/eV per cell: 2.3
Final energy in eV/atom: -4.019
Symmetry: P4/mmm (123)

Geometry as POSCAR:
```
K2CrPt
1.0
-1.751 -1.474 3.711
3.570 -2.393 0.734
2.290 4.268 2.776
K Pt Cr
2 1 1
Direct
0.000 0.000 0.241 K
0.000 0.000 0.759 K
0.500 0.500 0.000 Pt
0.500 0.500 0.500 Cr
```

No. 3
Computed, not measured: a geometry-optimized ZrTiAg2Te structure at the GGA-PBEsol level of DFT.

DOS at the Fermi energy in states/eV per cell: 5.9
Final energy in eV/atom: -4.389
Formation energy without anion corrections in eV/atom: 1.12
Symmetry: P4/mmm (123)

Geometry as POSCAR:
```
ZrTiAg2Te
1.0
4.649 0.000 0.000
0.000 5.167 0.000
0.000 0.000 5.167
Ti Te Ag Zr
1 1 2 1
Direct
0.500 0.000 0.000 Ti
0.500 0.500 0.500 Te
0.000 0.000 0.500 Ag
0.000 0.500 0.000 Ag
0.000 0.000 0.000 Zr
```

No. 4
Computed, not measured: a geometry-optimized AgBi3Br structure at the GGA-PBEsol level of DFT.

DOS at the Fermi energy in states/eV per cell: 9.5
Final energy in eV/atom: -3.101
Formation energy without anion corrections in eV/atom: 0.51
Symmetry: Pm-3m (221)

Geometry as POSCAR:
```
AgBi3Br
1.0
-0.562 5.282 -1.312
-3.223 -1.386 -4.198
-4.385 0.342 3.254
Ag Bi Br
1 3 1
Direct
0.000 0.000 0.000 Ag
0.000 0.000 0.500 Bi
0.000 0.500 0.000 Bi
0.500 0.000 0.000 Bi
0.500 0.500 0.500 Br
```

- Look up the final energy of the third one.
  -4.389 eV/atom